(w)
# PBE ScHgSb2I, optimized geometry
data_ScHgSb2I
_symmetry_space_group_name_H-M 'P 4/m m m'
_symmetry_Int_Tables_number 123
_symmetry_space_group_name_Hall '-P 4 2'
_cell_length_a 5.439
_cell_length_b 5.439
_cell_length_c 6.017
_cell_angle_alpha 90.00
_cell_angle_beta 90.00
_cell_angle_gamma 90.00
loop_
_atom_site_label
_atom_site_type_symbol
_atom_site_fract_x
_atom_site_fract_y
_atom_site_fract_z
_atom_site_occupancy
Sc1 Sc 0.000 0.000 0.000 1
Hg1 Hg 0.500 0.500 0.500 1
Sb1 Sb 0.000 0.500 0.500 1
I1 I 0.500 0.500 0.000 1
# **Crystal system**: tetragonal


(x)
# PBE ScHgSb2I, optimized geometry
data_ScHgSb2I
_symmetry_space_group_name_H-M 'P 4/m m m'
_symmetry_Int_Tables_number 123
_symmetry_space_group_name_Hall '-P 4 2'
_cell_length_a 5.597
_cell_length_b 5.597
_cell_length_c 5.683
_cell_angle_alpha 90.00
_cell_angle_beta 90.00
_cell_angle_gamma 90.00
loop_
_atom_site_label
_atom_site_type_symbol
_atom_site_fract_x
_atom_site_fract_y
_atom_site_fract_z
_atom_site_occupancy
Sc1 Sc 0.000 0.000 0.000 1
Hg1 Hg 0.500 0.500 0.500 1
Sb1 Sb 0.000 0.500 0.000 1
I1 I 0.000 0.000 0.500 1
# **Crystal system**: tetragonal


What should be chosen as the most stable of them? Choose (x).